# 1
Entry from Alexandria via LeMat-Bulk: crystalline BaScGa2 at its relaxed geometry (PBE-GGA).

Geometry as POSCAR:
```
BaScGa2
1.0
0.000 3.748 3.748
3.748 0.000 3.748
3.748 3.748 0.000
Sc Ba Ga
1 1 2
Direct
0.000 0.000 0.000
0.500 0.500 0.500
0.250 0.250 0.250
0.750 0.750 0.750
```

energy of formation = -0.20 eV/atom
space group = No. 225
DFT total energy = -15.12 eV/cell
distance to the lowest polymorph of the same formula = 0.89 eV/f.u.
spin magnetization = 0.0 Bohr magnetons per cell


# 2
Entry from Alexandria via LeMat-Bulk: crystalline KPIr4 at its relaxed geometry (PBE-GGA).

Geometry as POSCAR:
```
KPIr4
1.0
3.746 -3.273 1.850
-0.566 -5.250 -0.531
3.094 -2.674 -3.383
K P Ir
1 1 4
Direct
0.750 0.750 0.750
0.000 0.000 0.000
0.877 0.374 0.374
0.374 0.374 0.877
0.374 0.877 0.374
0.374 0.374 0.374
```

energy of formation = 0.78 eV/atom
space group = No. 216
DFT total energy = -37.26 eV/cell
spin magnetization = 0.0 Bohr magnetons per cell


# 3
Entry from Alexandria via LeMat-Bulk: crystalline CaPrYZn at its relaxed geometry (PBE-GGA).

Geometry as POSCAR:
```
CaPrYZn
1.0
3.605 0.000 0.000
0.000 3.605 0.000
0.000 0.000 9.316
Ca Pr Y Zn
1 1 1 1
Direct
0.000 0.000 0.127
0.500 0.500 0.801
0.000 0.000 0.520
0.500 0.500 0.337
```

energy of formation = -0.13 eV/atom
space group = No. 99
DFT total energy = -15.05 eV/cell
spin magnetization = 0.0 Bohr magnetons per cell


# 4
Entry from Alexandria via LeMat-Bulk: crystalline Nd2InSn3Pt4 at its relaxed geometry (PBE-GGA).

Geometry as POSCAR:
```
Nd2InSn3Pt4
1.0
4.585 0.000 0.000
0.000 4.585 0.000
0.000 0.000 10.796
Nd In Sn Pt
2 1 3 4
Direct
0.500 0.000 0.242
0.000 0.500 0.758
0.500 0.500 0.500
0.000 0.000 0.500
0.500 0.000 0.873
0.000 0.500 0.127
0.500 0.500 0.000
0.000 0.000 0.000
0.500 0.000 0.634
0.000 0.500 0.366
```

energy of formation = -0.83 eV/atom
space group = No. 115
DFT total energy = -56.73 eV/cell
spin magnetization = 0.0 Bohr magnetons per cell


# 5
Entry from Alexandria via LeMat-Bulk: crystalline Rb3Na2CuF9 at its relaxed geometry (PBE-GGA).

Geometry as POSCAR:
```
Rb3Na2CuF9
1.0
6.076 0.000 0.000
-3.038 5.262 0.000
0.000 0.000 7.601
Rb Na Cu F
3 2 1 9
Direct
0.333 0.667 0.686
0.000 0.000 0.000
0.667 0.333 0.314
0.333 0.667 0.183
0.667 0.333 0.817
0.000 0.000 0.500
0.851 0.149 0.644
0.851 0.702 0.644
0.298 0.149 0.644
0.702 0.851 0.356
0.149 0.298 0.356
0.149 0.851 0.356
0.500 0.000 0.000
0.000 0.500 0.000
0.500 0.500 0.000
```

space group = No. 164
DFT total energy = -60.54 eV/cell
ΔE_f (raw) = -2.27 eV per atom
spin magnetization = 2.3 Bohr magnetons per cell


# 6
Entry from Alexandria via LeMat-Bulk: crystalline Tb2NpInN4 at its relaxed geometry (PBE-GGA).

Geometry as POSCAR:
```
Tb2NpInN4
1.0
-3.193 -1.132 -0.694
0.280 -3.661 4.679
-2.246 5.301 1.687
Tb Np In N
2 1 1 4
Direct
0.500 0.000 0.500
0.000 0.500 0.500
0.500 0.500 0.000
0.000 0.000 0.000
0.500 0.252 0.240
0.500 0.748 0.760
0.000 0.261 0.755
0.000 0.739 0.245
```

space group = No. 10
DFT total energy = -66.06 eV/cell
ΔE_f (raw) = -0.98 eV per atom
spin magnetization = 3.5 Bohr magnetons per cell